No. 1
The following is a GGA-PBE calculation of a geometry-optimized KLi3Ti structure, from Alexandria.

a b c (Å): 5.051 5.051 5.051
angles (deg): 90.00 90.00 90.00
Fractional coordinates of all 5 atoms:
1 K 0.000 0.000 0.000
2 Li 0.000 0.000 0.500
3 Li 0.000 0.500 0.000
4 Li 0.500 0.000 0.000
5 Ti 0.500 0.500 0.500

Calculated formation energy (eV per atom): 1.057
SG: Pm-3m
Energy above the most stable polymorph in this dataset (eV per atom): 0.270


No. 2
The following is a GGA-PBE calculation of a geometry-optimized GdLuCu2 structure, from Alexandria.

a b c (Å): 4.882 4.882 4.882
angles (deg): 60.00 60.00 60.00
Fractional coordinates of all 4 atoms:
1 Gd 0.000 0.000 0.000
2 Lu 0.500 0.500 0.500
3 Cu 0.250 0.250 0.250
4 Cu 0.750 0.750 0.750

Calculated formation energy (eV per atom): -0.250
SG: Fm-3m
Energy above the most stable polymorph in this dataset (eV per atom): 0.010


No. 3
The following is a GGA-PBE calculation of a geometry-optimized Er2Zn5Ga3 structure, from Alexandria.

a b c (Å): 4.113 4.113 10.758
angles (deg): 90.00 90.00 90.00
Fractional coordinates of all 10 atoms:
1 Er 0.000 0.500 0.250
2 Er 0.500 0.000 0.750
3 Zn 0.000 0.000 0.000
4 Zn 0.000 0.000 0.500
5 Zn 0.000 0.500 0.866
6 Zn 0.500 0.000 0.134
7 Zn 0.500 0.500 0.000
8 Ga 0.000 0.500 0.644
9 Ga 0.500 0.000 0.356
10 Ga 0.500 0.500 0.500

Calculated formation energy (eV per atom): -0.351
SG: P-4m2


No. 4
The following is a GGA-PBE calculation of a geometry-optimized ScTa2Rh structure, from Alexandria.

a b c (Å): 5.496 5.496 5.496
angles (deg): 147.02 127.39 63.51
Fractional coordinates of all 4 atoms:
1 Sc 0.000 0.000 0.000
2 Ta 0.272 0.772 0.500
3 Ta 0.523 0.523 0.000
4 Rh 0.755 0.255 0.500

Calculated formation energy (eV per atom): -0.164
SG: Imm2
Energy above the most stable polymorph in this dataset (eV per atom): 0.192


No. 5
The following is a GGA-PBE calculation of a geometry-optimized CaSi2Os structure, from Alexandria.

a b c (Å): 3.016 3.016 7.329
angles (deg): 90.00 90.00 90.00
Fractional coordinates of all 4 atoms:
1 Ca 0.000 0.000 0.000
2 Si 0.500 0.500 0.304
3 Si 0.500 0.500 0.696
4 Os 0.000 0.000 0.500

SG: P4/mmm
Formation energy from raw total energies (meV per atom): -258


No. 6
The following is a GGA-PBE calculation of a geometry-optimized Nd8AgTe4Se3 structure, from Alexandria.

a b c (Å): 8.825 8.825 8.825
angles (deg): 59.14 59.14 59.14
Fractional coordinates of all 16 atoms:
1 Nd 0.238 0.746 0.746
2 Nd 0.240 0.240 0.240
3 Nd 0.254 0.254 0.762
4 Nd 0.254 0.762 0.254
5 Nd 0.746 0.238 0.746
6 Nd 0.746 0.746 0.238
7 Nd 0.760 0.760 0.760
8 Nd 0.762 0.254 0.254
9 Ag 0.500 0.500 0.500
10 Te 0.000 0.000 0.000
11 Te 0.000 0.500 0.500
12 Te 0.500 0.000 0.500
13 Te 0.500 0.500 0.000
14 Se 0.000 0.000 0.500
15 Se 0.000 0.500 0.000
16 Se 0.500 0.000 0.000

SG: R-3m
Formation energy from raw total energies (meV per atom): -1438